Entry 1:
First-principles (GGA-PBE) data for a relaxed structure of Ac2UAgRh6, as listed in the Alexandria database.

It has space group C2/m (No. 12), with a = 9.903 Å, b = 5.727 Å, c = 8.681 Å, α = 90.00°, β = 112.32° and γ = 90.00°. Symmetry generates all atoms from Ac at (0.211, 0.000, 0.134), U at (0.000, 0.000, 0.500), Ag at (0.000, 0.500, 0.000), Rh at (0.010, 0.254, 0.275) and Rh at (0.245, 0.000, 0.726).

Its total energy is -6.982 eV/atom. The value obtained for the total magnetization is 0.00 μB per cell. As for the formation energy: -0.3355 eV/atom. The density is 10.336 g/cm³.

***

Entry 2:
First-principles (GGA-PBE) data for a relaxed structure of LaCr2W2, as listed in the Alexandria database.

It has space group P4/mbm (No. 127), with a = 7.780 Å, b = 7.780 Å, c = 2.866 Å, α = 90.00°, β = 90.00° and γ = 90.00°. Symmetry generates all atoms from La at (0.000, 0.000, 0.000), Cr at (0.140, 0.360, 0.000) and W at (0.139, 0.639, 0.500).

The energy above the most stable polymorph in this dataset is 155 meV per atom. Its total energy is -9.416 eV/atom. The value obtained for the total magnetization is 0.00 μB per cell. As for the formation energy: 0.6004 eV/atom. The density is 11.689 g/cm³.